Entry from Alexandria: a relaxed structure of Sc2P2F (PBE-GGA).

Cell: 6.5011 6.5011 3.7858 Å, 90.00 90.00 90.00°
Atoms (fractional coordinates):
Sc 0.1826 0.3174 0.0000
Sc 0.3174 0.8174 0.0000
Sc 0.6826 0.1826 0.0000
Sc 0.8174 0.6826 0.0000
P 0.1194 0.6194 0.5000
P 0.3806 0.1194 0.5000
P 0.6194 0.8806 0.5000
P 0.8806 0.3806 0.5000
F 0.0000 0.0000 0.0000
F 0.5000 0.5000 0.0000

**Energy above the lowest structure with this stoichiometry**: 0.000 eV per atom
**Crystal system**: tetragonal
**Space group**: P4/mbm, No. 127
**N(E_F)**: 2.3 states/eV/cell